No. 1
KZrCdBi2 after structural relaxation. Source: Alexandria via LeMat-Bulk, functional PBE-GGA.

Its calculated density is 4.82 g/cm3. The energy of formation from the pure elements comes out at 0.304 eV per atom. Its spin magnetization is 0.91 Bohr magnetons per cell.

The space group is P4/mmm (No. 123) and the conventional cell measures 5.668, 5.668 and 7.080 Å, with angles of 90.00, 90.00 and 90.00 degrees. The asymmetric unit holds K at (0.000, 0.000, 0.000), Zr at (0.000, 0.000, 0.500), Cd at (0.500, 0.500, 0.000) and Bi at (0.000, 0.500, 0.500).

No. 2
Rb2BaCoCl8 after structural relaxation. Source: Alexandria via LeMat-Bulk, functional PBE-GGA.

Its calculated density is 3.17 g/cm3. Its spin magnetization is 1.16 Bohr magnetons per cell. The formation energy (no corrections) comes out at -1386 meV per atom.

The space group is P-3m1 (No. 164) and the conventional cell measures 6.9089, 6.9089 and 8.2417 Å, with angles of 90.00, 90.00 and 120.00 degrees. The asymmetric unit holds Rb at (0.3333, 0.6667, 0.3562), Ba at (0.0000, 0.0000, 0.0000), Co at (0.0000, 0.0000, 0.5000), Cl at (0.1513, 0.3027, 0.6656) and Cl at (0.3333, 0.6667, 0.9790).

No. 3
NbTcBi2Sb after structural relaxation. Source: Alexandria via LeMat-Bulk, functional PBE-GGA.

Its calculated density is 7.14 g/cm3. Its spin magnetization is 4.85 Bohr magnetons per cell. The formation energy (no corrections) comes out at 1803 meV per atom.

The space group is P4/mmm (No. 123) and the conventional cell measures 5.753, 5.753 and 5.134 Å, with angles of 90.00, 90.00 and 90.00 degrees. The asymmetric unit holds Nb at (0.000, 0.000, 0.000), Tc at (0.500, 0.500, 0.000), Bi at (0.000, 0.500, 0.500) and Sb at (0.000, 0.000, 0.500).